(1)
Density functional theory data (PBE) for an optimized crystal structure of Cu2AsPd2.

## Properties
- density (g/cm³) = 9.3
- ΔH_f (0 K) (eV/atom) = -0.02

a = 6.2700 Å, b = 6.2700 Å, c = 3.7715 Å
α = 90.00°, β = 90.00°, γ = 90.00°
Space group P4/mbm (No. 127)
Inequivalent atoms, fractional coordinates:
1 Cu 0.1371 0.3629 0.0000 (multiplicity 4)
2 As 0.0000 0.0000 0.0000 (multiplicity 2)
3 Pd 0.1635 0.6635 0.5000 (multiplicity 4)



(2)
Density functional theory data (PBE) for an optimized crystal structure of La2Tb5YTm.

## Properties
- density (g/cm³) = 7.3
- ΔH_f (0 K) (eV/atom) = 0.14

a = 5.6603 Å, b = 19.9936 Å, c = 10.7118 Å
α = 90.00°, β = 90.00°, γ = 90.00°
Space group Cmc2_1 (No. 36)
Inequivalent atoms, fractional coordinates:
1 La 0.0000 0.1136 0.0000 (multiplicity 4)
2 La 0.0000 0.1155 0.5836 (multiplicity 4)
3 Tb 0.0000 0.0157 0.2885 (multiplicity 4)
4 Tb 0.0000 0.2793 0.5767 (multiplicity 4)
5 Tb 0.0000 0.2988 0.9730 (multiplicity 4)
6 Tb 0.0000 0.3851 0.2874 (multiplicity 4)
7 Tb 0.0000 0.4811 0.0074 (multiplicity 4)
8 Y 0.0000 0.4106 0.7281 (multiplicity 4)
9 Tm 0.0000 0.2004 0.2783 (multiplicity 4)



(3)
Density functional theory data (PBE) for an optimized crystal structure of IrRh2Cl.

## Properties
- density (g/cm³) = 11.1
- excess energy over the best structure of this formula in the dataset (eV per atom) = 0.004

a = 2.8334 Å, b = 3.4913 Å, c = 6.5841 Å
α = 90.00°, β = 90.00°, γ = 90.00°
Space group Pmmm (No. 47)
Inequivalent atoms, fractional coordinates:
1 Ir 0.0000 0.0000 0.0000 (multiplicity 1)
2 Rh 0.5000 0.5000 0.2102 (multiplicity 2)
3 Cl 0.5000 0.0000 0.5000 (multiplicity 1)



Question: The lowest density belongs to which entry?
Answer: La2Tb5YTm



Question: Look up the density of the second one.
Answer: 7.3 g/cm³



Question: What is the density in the first record?
Answer: 9.3 g/cm³